Here is an optimized crystal structure of TmMn6Ga2Sn4 from Alexandria via LeMat-Bulk. Energies are from PBE.

Cell and atoms, written as POSCAR:
```
TmMn6Ga2Sn4
1.0
-4.9613 0.9577 1.7744
3.4341 -2.7839 3.0227
2.7720 7.4620 3.7232
Sn Ga Mn Tm
4 2 6 1
Cartesian
1.8519 4.9852 2.4874
-0.7768 3.4415 4.0521
2.0216 2.1943 4.4682
0.9201 2.4768 1.2358
-2.1628 -0.2895 2.1905
0.6356 -1.5367 2.6066
-0.1119 0.8413 3.2740
-1.8289 2.2333 1.7626
1.3567 4.7945 5.2464
3.8373 4.3156 4.3592
-0.3604 6.1864 3.7350
2.3688 0.3625 2.3868
0.0000 0.0000 0.0000
```

ρ ... 8.5 g/cm³
Spin magnetization ... 13.9 Bohr magnetons per cell
DFT formation energy ... -0.165 eV/atom



Here is an optimized crystal structure of AgAu2 from Alexandria via LeMat-Bulk. Energies are from PBE.

Cell and atoms, written as POSCAR:
```
AgAu2
1.0
5.4925 0.0000 0.0000
-2.7462 4.7566 0.0000
0.0000 0.0000 8.9881
Au Ag
8 4
Cartesian
4.0913 0.8090 2.2470
0.0000 1.6179 6.7411
1.4011 0.8090 2.2470
0.0000 0.0000 4.4941
0.0000 0.0000 0.0000
-1.3451 3.9477 6.7411
1.3451 3.9477 6.7411
2.7462 3.1387 2.2470
0.0000 3.1711 0.4470
2.7462 1.5855 4.9411
2.7462 1.5855 8.5411
0.0000 3.1711 4.0471
```

ρ ... 14.2 g/cm³
Spin magnetization ... 0.0 Bohr magnetons per cell
DFT formation energy ... 0.064 eV/atom



Here is an optimized crystal structure of Pa2SnH2 from Alexandria via LeMat-Bulk. Energies are from PBE.

Cell and atoms, written as POSCAR:
```
Pa2SnH2
1.0
-5.7811 0.7740 0.2417
-3.1029 0.3846 -4.9515
-3.6517 -5.3309 0.1572
H Pa Sn
4 4 2
Cartesian
-5.5801 -2.0408 -3.5745
-6.9556 -2.1316 -0.9782
-5.2380 0.5329 -3.5896
-7.2978 -4.7053 -0.9631
-7.2059 -3.4190 -2.8241
-5.3298 -0.7534 -1.7285
-2.3821 -1.1395 -0.4817
-10.1536 -3.0328 -4.0710
-4.2371 -3.8055 -1.0923
-8.2986 -0.3668 -3.4604
```

ρ ... 11.3 g/cm³
Spin magnetization ... 4.6 Bohr magnetons per cell



E
In order: -6.438, -3.072, -6.222
Unit: eV/atom
V
In order: 218, 59, 85
Unit: Å³/f.u.